Record 1
VASP calculation (GGA-PBE) on a geometry-optimized Al2RuClF structure.

Summary:
formation energy (no corrections)	0.29	eV/atom
density of states at the Fermi level	2.39	states/eV per cell

The structure in CIF format:
```
data_Al2RuClF
_cell_length_a 4.848
_cell_length_b 4.848
_cell_length_c 4.219
_cell_angle_alpha 90.00
_cell_angle_beta 90.00
_cell_angle_gamma 90.00
_space_group_name_H-M_alt 'P 1'
_space_group_IT_number 1
_space_group_name_Hall 'P 1'
loop_
_atom_site_label
_atom_site_type_symbol
_atom_site_fract_x
_atom_site_fract_y
_atom_site_fract_z
Al1 Al 0.000 0.500 0.000
Al2 Al 0.500 0.000 0.000
Ru1 Ru 0.000 0.000 0.500
Cl1 Cl 0.500 0.500 0.500
F1 F 0.000 0.000 0.000
```

***

Record 2
VASP calculation (GGA-PBE) on a geometry-optimized Ba2PbCl structure.

Summary:
formation energy (no corrections)	-1.06	eV/atom
density of states at the Fermi level	1.59	states/eV per cell
energy above the lowest structure with this stoichiometry	3.88	kcal/mol of atoms

The structure in CIF format:
```
data_Ba2PbCl
_cell_length_a 6.359
_cell_length_b 6.359
_cell_length_c 6.359
_cell_angle_alpha 134.80
_cell_angle_beta 112.18
_cell_angle_gamma 85.29
_space_group_name_H-M_alt 'P 1'
_space_group_IT_number 1
_space_group_name_Hall 'P 1'
loop_
_atom_site_label
_atom_site_type_symbol
_atom_site_fract_x
_atom_site_fract_y
_atom_site_fract_z
Ba1 Ba 0.216 0.216 0.000
Ba2 Ba 0.784 0.784 0.000
Pb1 Pb 0.500 0.000 0.500
Cl1 Cl 0.000 0.500 0.500
```

***

Record 3
VASP calculation (GGA-PBE) on a geometry-optimized GdAlCdCu structure.

Summary:
energy relative to the elements	-218	meV/atom
density of states at the Fermi level	2.07	states/eV per cell

The structure in CIF format:
```
data_GdAlCdCu
_cell_length_a 4.825
_cell_length_b 4.825
_cell_length_c 4.825
_cell_angle_alpha 60.00
_cell_angle_beta 60.00
_cell_angle_gamma 60.00
_space_group_name_H-M_alt 'P 1'
_space_group_IT_number 1
_space_group_name_Hall 'P 1'
loop_
_atom_site_label
_atom_site_type_symbol
_atom_site_fract_x
_atom_site_fract_y
_atom_site_fract_z
Gd1 Gd 0.000 0.000 0.000
Al1 Al 0.500 0.500 0.500
Cd1 Cd 0.750 0.750 0.750
Cu1 Cu 0.250 0.250 0.250
```

***

Record 4
VASP calculation (GGA-PBE) on a geometry-optimized NaLaScCo2 structure.

Summary:
energy relative to the elements	657	meV/atom
density of states at the Fermi level	4.75	states/eV per cell

The structure in CIF format:
```
data_NaLaScCo2
_cell_length_a 4.639
_cell_length_b 4.639
_cell_length_c 5.023
_cell_angle_alpha 90.00
_cell_angle_beta 90.00
_cell_angle_gamma 90.00
_space_group_name_H-M_alt 'P 1'
_space_group_IT_number 1
_space_group_name_Hall 'P 1'
loop_
_atom_site_label
_atom_site_type_symbol
_atom_site_fract_x
_atom_site_fract_y
_atom_site_fract_z
Na1 Na 0.000 0.000 0.000
La1 La 0.500 0.500 0.000
Sc1 Sc 0.000 0.000 0.500
Co1 Co 0.000 0.500 0.500
Co2 Co 0.500 0.000 0.500
```

***

Record 5
VASP calculation (GGA-PBE) on a geometry-optimized Er5Pa3As8 structure.

Summary:
energy relative to the elements	-1334	meV/atom
density of states at the Fermi level	14.02	states/eV per cell

The structure in CIF format:
```
data_Er5Pa3As8
_cell_length_a 8.154
_cell_length_b 8.154
_cell_length_c 8.154
_cell_angle_alpha 60.11
_cell_angle_beta 60.11
_cell_angle_gamma 60.11
_space_group_name_H-M_alt 'P 1'
_space_group_IT_number 1
_space_group_name_Hall 'P 1'
loop_
_atom_site_label
_atom_site_type_symbol
_atom_site_fract_x
_atom_site_fract_y
_atom_site_fract_z
Er1 Er 0.000 0.000 0.000
Er2 Er 0.000 0.500 0.500
Er3 Er 0.500 0.000 0.500
Er4 Er 0.500 0.500 0.000
Er5 Er 0.500 0.500 0.500
Pa1 Pa 0.000 0.000 0.500
Pa2 Pa 0.000 0.500 0.000
Pa3 Pa 0.500 0.000 0.000
As1 As 0.249 0.750 0.750
As2 As 0.250 0.250 0.751
As3 As 0.250 0.751 0.250
As4 As 0.251 0.251 0.251
As5 As 0.749 0.749 0.749
As6 As 0.750 0.249 0.750
As7 As 0.750 0.750 0.249
As8 As 0.751 0.250 0.250
```

***

Record 6
VASP calculation (GGA-PBE) on a geometry-optimized BaSc3Ag structure.

Summary:
energy relative to the elements	251	meV/atom
density of states at the Fermi level	10.60	states/eV per cell
energy above the lowest structure with this stoichiometry	0.00	kcal/mol of atoms

The structure in CIF format:
```
data_BaSc3Ag
_cell_length_a 5.385
_cell_length_b 5.385
_cell_length_c 5.385
_cell_angle_alpha 90.00
_cell_angle_beta 90.00
_cell_angle_gamma 90.00
_space_group_name_H-M_alt 'P 1'
_space_group_IT_number 1
_space_group_name_Hall 'P 1'
loop_
_atom_site_label
_atom_site_type_symbol
_atom_site_fract_x
_atom_site_fract_y
_atom_site_fract_z
Ba1 Ba 0.000 0.000 0.000
Sc1 Sc 0.000 0.500 0.500
Sc2 Sc 0.500 0.000 0.500
Sc3 Sc 0.500 0.500 0.000
Ag1 Ag 0.500 0.500 0.500
```

***

Record 7
VASP calculation (GGA-PBE) on a geometry-optimized Te2PbCl structure.

Summary:
formation energy (no corrections)	-0.17	eV/atom
density of states at the Fermi level	1.68	states/eV per cell
energy above the lowest structure with this stoichiometry	5.17	kcal/mol of atoms

The structure in CIF format:
```
data_Te2PbCl
_cell_length_a 6.920
_cell_length_b 6.920
_cell_length_c 3.261
_cell_angle_alpha 93.54
_cell_angle_beta 93.54
_cell_angle_gamma 129.43
_space_group_name_H-M_alt 'P 1'
_space_group_IT_number 1
_space_group_name_Hall 'P 1'
loop_
_atom_site_label
_atom_site_type_symbol
_atom_site_fract_x
_atom_site_fract_y
_atom_site_fract_z
Te1 Te 0.000 0.500 0.000
Te2 Te 0.500 0.000 0.000
Pb1 Pb 0.000 0.000 0.500
Cl1 Cl 0.500 0.500 0.500
```

***

Record 8
VASP calculation (GGA-PBE) on a geometry-optimized Dy12Ga6Co structure.

Summary:
energy relative to the elements	-202	meV/atom
density of states at the Fermi level	22.51	states/eV per cell

The structure in CIF format:
```
data_Dy12Ga6Co
_cell_length_a 8.320
_cell_length_b 8.320
_cell_length_c 8.320
_cell_angle_alpha 99.20
_cell_angle_beta 99.20
_cell_angle_gamma 99.20
_space_group_name_H-M_alt 'P 1'
_space_group_IT_number 1
_space_group_name_Hall 'P 1'
loop_
_atom_site_label
_atom_site_type_symbol
_atom_site_fract_x
_atom_site_fract_y
_atom_site_fract_z
Dy1 Dy 0.032 0.688 0.933
Dy2 Dy 0.067 0.968 0.312
Dy3 Dy 0.183 0.431 0.570
Dy4 Dy 0.312 0.067 0.968
Dy5 Dy 0.430 0.817 0.569
Dy6 Dy 0.431 0.570 0.183
Dy7 Dy 0.569 0.430 0.817
Dy8 Dy 0.570 0.183 0.431
Dy9 Dy 0.688 0.933 0.032
Dy10 Dy 0.817 0.569 0.430
Dy11 Dy 0.933 0.032 0.688
Dy12 Dy 0.968 0.312 0.067
Ga1 Ga 0.134 0.626 0.301
Ga2 Ga 0.301 0.134 0.626
Ga3 Ga 0.374 0.699 0.866
Ga4 Ga 0.626 0.301 0.134
Ga5 Ga 0.699 0.866 0.374
Ga6 Ga 0.866 0.374 0.699
Co1 Co 0.000 0.000 0.000
```

***

Record 9
VASP calculation (GGA-PBE) on a geometry-optimized Pr4SbAs5 structure.

Summary:
formation energy (no corrections)	-1.14	eV/atom
density of states at the Fermi level	1.65	states/eV per cell

The structure in CIF format:
```
data_Pr4SbAs5
_cell_length_a 15.516
_cell_length_b 15.516
_cell_length_c 15.516
_cell_angle_alpha 164.14
_cell_angle_beta 164.14
_cell_angle_gamma 22.50
_space_group_name_H-M_alt 'P 1'
_space_group_IT_number 1
_space_group_name_Hall 'P 1'
loop_
_atom_site_label
_atom_site_type_symbol
_atom_site_fract_x
_atom_site_fract_y
_atom_site_fract_z
Pr1 Pr 0.100 0.100 0.000
Pr2 Pr 0.300 0.300 0.000
Pr3 Pr 0.700 0.700 0.000
Pr4 Pr 0.900 0.900 0.000
Sb1 Sb 0.500 0.500 0.000
As1 As 0.000 0.000 0.000
As2 As 0.200 0.200 0.000
As3 As 0.401 0.401 0.000
As4 As 0.599 0.599 0.000
As5 As 0.800 0.800 0.000
```

***

Record 10
VASP calculation (GGA-PBE) on a geometry-optimized SrCdAsBr structure.

Summary:
formation energy (no corrections)	-1.18	eV/atom

The structure in CIF format:
```
data_SrCdAsBr
_cell_length_a 14.433
_cell_length_b 14.433
_cell_length_c 14.433
_cell_angle_alpha 18.08
_cell_angle_beta 18.08
_cell_angle_gamma 18.08
_space_group_name_H-M_alt 'P 1'
_space_group_IT_number 1
_space_group_name_Hall 'P 1'
loop_
_atom_site_label
_atom_site_type_symbol
_atom_site_fract_x
_atom_site_fract_y
_atom_site_fract_z
Sr1 Sr 0.088 0.088 0.088
Sr2 Sr 0.912 0.912 0.912
Cd1 Cd 0.310 0.310 0.310
Cd2 Cd 0.690 0.690 0.690
As1 As 0.377 0.377 0.377
As2 As 0.623 0.623 0.623
Br1 Br 0.208 0.208 0.208
Br2 Br 0.792 0.792 0.792
```

***

Record 11
VASP calculation (GGA-PBE) on a geometry-optimized DyPuTl2 structure.

Summary:
energy relative to the elements	-145	meV/atom
density of states at the Fermi level	10.73	states/eV per cell
energy above the lowest structure with this stoichiometry	0.62	kcal/mol of atoms

The structure in CIF format:
```
data_DyPuTl2
_cell_length_a 5.399
_cell_length_b 5.399
_cell_length_c 5.399
_cell_angle_alpha 60.00
_cell_angle_beta 60.00
_cell_angle_gamma 60.00
_space_group_name_H-M_alt 'P 1'
_space_group_IT_number 1
_space_group_name_Hall 'P 1'
loop_
_atom_site_label
_atom_site_type_symbol
_atom_site_fract_x
_atom_site_fract_y
_atom_site_fract_z
Dy1 Dy 0.000 0.000 0.000
Pu1 Pu 0.500 0.500 0.500
Tl1 Tl 0.250 0.250 0.250
Tl2 Tl 0.750 0.750 0.750
```

***

Record 12
VASP calculation (GGA-PBE) on a geometry-optimized BaU2Te4 structure.

Summary:
formation energy (no corrections)	-0.91	eV/atom
density of states at the Fermi level	26.33	states/eV per cell

The structure in CIF format:
```
data_BaU2Te4
_cell_length_a 7.634
_cell_length_b 7.634
_cell_length_c 15.401
_cell_angle_alpha 90.00
_cell_angle_beta 90.00
_cell_angle_gamma 145.54
_space_group_name_H-M_alt 'P 1'
_space_group_IT_number 1
_space_group_name_Hall 'P 1'
loop_
_atom_site_label
_atom_site_type_symbol
_atom_site_fract_x
_atom_site_fract_y
_atom_site_fract_z
Ba1 Ba 0.107 0.893 0.750
Ba2 Ba 0.893 0.107 0.250
U1 U 0.366 0.634 0.561
U2 U 0.366 0.634 0.939
U3 U 0.634 0.366 0.061
U4 U 0.634 0.366 0.439
Te1 Te 0.000 0.000 0.000
Te2 Te 0.000 0.000 0.500
Te3 Te 0.268 0.732 0.118
Te4 Te 0.268 0.732 0.382
Te5 Te 0.429 0.571 0.750
Te6 Te 0.571 0.429 0.250
Te7 Te 0.732 0.268 0.618
Te8 Te 0.732 0.268 0.882
```

***

| no. | magnetic moment (μB/atom) |
| --- | --- |
| 1 | 0.40 |
| 2 | 0.00 |
| 3 | 1.75 |
| 4 | 0.00 |
| 5 | 0.00 |
| 6 | 0.00 |
| 7 | 0.00 |
| 8 | 0.00 |
| 9 | 0.00 |
| 10 | 0.00 |
| 11 | 1.55 |
| 12 | 0.84 |